1.
12
Lattice="3.244 0.000 0.000 0.000 11.976 0.000 0.000 0.000 2.838" Properties=species:S:1:pos:R:3 comment="B5Ir (PBE, relaxed)" total_energy_ev_per_cell=-76.7 n_ef_per_ev_cell=4.1 pbc="T T T"
B 0.000 0.000 0.000
B 0.000 1.620 1.419
B 0.000 2.685 0.000
B 0.000 9.291 0.000
B 0.000 10.356 1.419
B 1.622 3.303 0.000
B 1.622 4.368 1.419
B 1.622 5.988 0.000
B 1.622 7.608 1.419
B 1.622 8.673 0.000
Ir 0.000 5.988 1.419
Ir 1.622 0.000 1.419

---

2.
12
Lattice="2.780 0.000 0.000 -1.378 5.988 0.000 -1.389 -1.262 8.425" Properties=species:S:1:pos:R:3 comment="B5Ir7 (PBE, relaxed)" total_energy_ev_per_cell=-95.8 n_ef_per_ev_cell=6.1 pbc="T T T"
B 0.000 0.000 0.000
B -1.377 4.994 3.718
B 0.004 2.046 1.956
B 0.008 2.680 6.468
B 1.390 -0.268 4.706
Ir -1.386 0.994 6.328
Ir -1.378 4.413 5.730
Ir -1.376 3.131 8.201
Ir 0.006 2.363 4.212
Ir 1.388 1.596 0.224
Ir 1.391 0.313 2.694
Ir 1.398 3.732 2.096

---

3.
5
Lattice="4.096 0.000 0.000 0.000 4.096 0.000 0.000 0.000 4.096" Properties=species:S:1:pos:R:3 comment="BIr4 (PBE, relaxed)" total_energy_ev_per_cell=-40.2 n_ef_per_ev_cell=7.5 pbc="T T T"
B 0.000 0.000 0.000
Ir 0.000 0.000 2.048
Ir 0.000 2.048 0.000
Ir 2.048 0.000 0.000
Ir 2.048 2.048 2.048

---

4.
10
Lattice="2.503 1.445 5.534 -2.503 1.445 5.534 0.000 -2.890 5.534" Properties=species:S:1:pos:R:3 comment="B2Ir3 (PBE, relaxed)" total_energy_ev_per_cell=-80.0 n_ef_per_ev_cell=6.1 pbc="T T T"
B 0.000 0.000 2.728
B 0.000 0.000 5.573
B 0.000 0.000 11.029
B 0.000 0.000 13.874
Ir -1.678 -0.017 6.918
Ir -0.825 -1.462 9.685
Ir 0.853 -1.445 6.918
Ir -0.853 1.445 9.685
Ir 0.825 1.462 6.918
Ir 1.678 0.017 9.685

---

5.
10
Lattice="0.000 6.085 1.956 5.098 0.000 1.956 5.098 6.085 0.000" Properties=species:S:1:pos:R:3 comment="B2Ir3 (PBE, relaxed)" total_energy_ev_per_cell=-81.6 n_ef_per_ev_cell=6.7 pbc="T T T"
B 5.970 4.022 1.956
B 6.775 7.065 2.933
B 4.226 8.148 1.956
B 3.421 5.105 2.933
Ir 2.610 1.006 0.969
Ir 5.159 2.037 1.947
Ir 2.488 5.079 0.969
Ir 5.098 6.085 1.964
Ir 7.647 9.128 2.941
Ir 5.037 10.133 1.947

---

6.
5
Lattice="4.097 0.000 0.000 0.000 4.097 0.000 0.000 0.000 4.097" Properties=species:S:1:pos:R:3 comment="B4Ir (PBE, relaxed)" total_energy_ev_per_cell=-27.0 n_ef_per_ev_cell=4.5 pbc="T T T"
B 0.000 0.000 0.000
B 0.000 2.048 2.048
B 2.048 0.000 2.048
B 2.048 2.048 0.000
Ir 2.048 2.048 2.048

---

7.
5
Lattice="4.174 0.000 0.000 0.000 4.174 0.000 0.000 0.000 4.174" Properties=species:S:1:pos:R:3 comment="KB3Ir (PBE, relaxed)" total_energy_ev_per_cell=-26.8 n_ef_per_ev_cell=2.3 pbc="T T T"
K 0.000 0.000 0.000
B 0.000 2.087 2.087
B 2.087 0.000 2.087
B 2.087 2.087 0.000
Ir 2.087 2.087 2.087

---

8.
5
Lattice="4.758 0.000 0.000 0.000 4.758 0.000 0.000 0.000 4.758" Properties=species:S:1:pos:R:3 comment="KBIr3 (PBE, relaxed)" total_energy_ev_per_cell=-14.3 n_ef_per_ev_cell=12.5 pbc="T T T"
K 0.000 0.000 0.000
B 2.379 2.379 2.379
Ir 0.000 0.000 2.379
Ir 0.000 2.379 0.000
Ir 2.379 0.000 0.000

---

9.
16
Lattice="3.647 0.000 0.000 0.000 3.647 0.000 0.000 0.000 22.243" Properties=species:S:1:pos:R:3 comment="K2BIr (PBE, relaxed)" total_energy_ev_per_cell=-46.6 n_ef_per_ev_cell=8.7 pbc="T T T"
K 0.903 0.912 2.780
K 0.912 2.727 8.341
K 0.912 2.743 19.462
K 0.920 0.912 13.902
K 2.727 2.735 13.902
K 2.735 0.903 19.462
K 2.735 0.920 8.341
K 2.743 2.735 2.780
B 0.000 0.000 0.000
B 0.000 1.823 5.561
B 1.823 0.000 16.682
B 1.823 1.823 11.121
Ir 0.000 0.000 11.121
Ir 0.000 1.823 16.682
Ir 1.823 0.000 5.561
Ir 1.823 1.823 0.000

---

10.
9
Lattice="5.805 -1.842 0.000 5.805 1.842 0.000 -4.777 0.000 5.870" Properties=species:S:1:pos:R:3 comment="KB4Ir4 (PBE, relaxed)" total_energy_ev_per_cell=-65.0 n_ef_per_ev_cell=2.7 pbc="T T T"
K 0.000 0.000 0.000
B -1.534 0.000 5.258
B 1.741 0.000 3.438
B 5.091 0.000 2.432
B 8.366 0.000 0.611
Ir -0.387 0.000 3.397
Ir 3.232 0.000 1.515
Ir 3.600 0.000 4.355
Ir 7.219 0.000 2.473

---

11.
5
Lattice="4.074 0.000 0.000 0.000 4.074 0.000 0.000 0.000 4.074" Properties=species:S:1:pos:R:3 comment="KB3Ir (PBE, relaxed)" total_energy_ev_per_cell=-11.4 n_ef_per_ev_cell=3.9 pbc="T T T"
K 0.000 0.000 0.000
B 0.000 0.000 2.037
B 0.000 2.037 0.000
B 2.037 0.000 0.000
Ir 2.037 2.037 2.037

---

12.
5
Lattice="4.265 0.000 0.000 0.000 4.265 0.000 0.000 0.000 4.265" Properties=species:S:1:pos:R:3 comment="KBIr3 (PBE, relaxed)" total_energy_ev_per_cell=-31.6 n_ef_per_ev_cell=4.5 pbc="T T T"
K 0.000 0.000 0.000
B 2.132 2.132 2.132
Ir 0.000 2.132 2.132
Ir 2.132 0.000 2.132
Ir 2.132 2.132 0.000